i.
First-principles (PBE-GGA) data for a relaxed NiHgAs3 crystal, as listed in the Alexandria database.

Lattice parameters (Å, degrees): 5.1428 5.1428 5.1428 90.00 90.00 90.00
With the nearest neighbours (Å) after each atom.
Atoms (fractional coordinates):
Ni: 0.5000 0.5000 0.5000  12 As 3.64
As: 0.0000 0.5000 0.0000  2 Hg 2.57
As: 0.0000 0.0000 0.5000  2 Hg 2.57
As: 0.5000 0.0000 0.0000  2 Hg 2.57
Hg: 0.0000 0.0000 0.0000  6 As 2.57

Values from the calculation:
Space group: Pm-3m, No. 221
Size of the total moment: 0.571 μB/cell



ii.
First-principles (PBE-GGA) data for a relaxed NiHgAs3 crystal, as listed in the Alexandria database.

Lattice parameters (Å, degrees): 4.7059 4.7059 4.7059 90.00 90.00 90.00
With the nearest neighbours (Å) after each atom.
Atoms (fractional coordinates):
Ni: 0.0000 0.0000 0.0000  6 As 2.35
As: 0.0000 0.5000 0.0000  2 Ni 2.35
As: 0.0000 0.0000 0.5000  2 Ni 2.35
As: 0.5000 0.0000 0.0000  2 Ni 2.35
Hg: 0.5000 0.5000 0.5000  12 As 3.33

Values from the calculation:
Space group: Pm-3m, No. 221
Size of the total moment: 0.000 μB/cell



Short version: ii is the most stable of them.



i.
First-principles (PBE-GGA) data for a relaxed NpHgAs2 crystal, as listed in the Alexandria database.

Lattice parameters (Å, degrees): 3.8102 4.6708 4.6708 90.00 90.00 90.00
With the nearest neighbours (Å) after each atom.
Atoms (fractional coordinates):
Np: 0.5000 0.0000 0.0000  8 As 3.01, 4 Hg 3.30
As: 0.0000 0.0000 0.5000  4 Hg 3.01, 4 Np 3.01, 4 As 3.30
As: 0.0000 0.5000 0.0000  4 Hg 3.01, 4 Np 3.01, 4 As 3.30
Hg: 0.5000 0.5000 0.5000  8 As 3.01, 4 Np 3.30

Values from the calculation:
Space group: P4/mmm, No. 123
Size of the total moment: 3.228 μB/cell



ii.
First-principles (PBE-GGA) data for a relaxed NpHgAs2 crystal, as listed in the Alexandria database.

Lattice parameters (Å, degrees): 4.3374 4.3374 6.3460 70.02 70.02 60.00
With the nearest neighbours (Å) after each atom.
Atoms (fractional coordinates):
Np: 0.0000 0.0000 0.0000  6 As 2.85
As: 0.2558 0.2558 0.2325  3 Np 2.85, 3 Hg 2.95
As: 0.7442 0.7442 0.7675  3 Np 2.85, 3 Hg 2.95
Hg: 0.5000 0.5000 0.5000  6 As 2.95

Values from the calculation:
Space group: R-3m, No. 166
Size of the total moment: 3.083 μB/cell



Short version: i is the most stable of them.



i.
First-principles (PBE-GGA) data for a relaxed HgAs3O crystal, as listed in the Alexandria database.

Lattice parameters (Å, degrees): 4.5212 4.5212 4.5212 90.00 90.00 90.00
With the nearest neighbours (Å) after each atom.
Atoms (fractional coordinates):
As: 0.0000 0.5000 0.0000  2 O 2.26
As: 0.0000 0.0000 0.5000  2 O 2.26
As: 0.5000 0.0000 0.0000  2 O 2.26
Hg: 0.5000 0.5000 0.5000  12 As 3.20
O: 0.0000 0.0000 0.0000  6 As 2.26

Values from the calculation:
Space group: Pm-3m, No. 221
Size of the total moment: 0.000 μB/cell



ii.
First-principles (PBE-GGA) data for a relaxed HgAs3O crystal, as listed in the Alexandria database.

Lattice parameters (Å, degrees): 5.1861 5.1861 5.1861 90.00 90.00 90.00
With the nearest neighbours (Å) after each atom.
Atoms (fractional coordinates):
As: 0.0000 0.5000 0.0000  2 Hg 2.59
As: 0.0000 0.0000 0.5000  2 Hg 2.59
As: 0.5000 0.0000 0.0000  2 Hg 2.59
Hg: 0.0000 0.0000 0.0000  6 As 2.59
O: 0.5000 0.5000 0.5000  12 As 3.67

Values from the calculation:
Space group: Pm-3m, No. 221
Size of the total moment: 0.002 μB/cell



Short version: i is the most stable of them.



i.
First-principles (PBE-GGA) data for a relaxed Hg2AsO crystal, as listed in the Alexandria database.

Lattice parameters (Å, degrees): 4.7064 4.7064 4.7064 60.00 60.00 60.00
With the nearest neighbours (Å) after each atom.
Atoms (fractional coordinates):
As: 0.5000 0.5000 0.5000  8 Hg 2.88
Hg: 0.2500 0.2500 0.2500  4 As 2.88, 4 O 2.88
Hg: 0.7500 0.7500 0.7500  4 O 2.88, 4 As 2.88
O: 0.0000 0.0000 0.0000  8 Hg 2.88

Values from the calculation:
Space group: Fm-3m, No. 225
Size of the total moment: 0.000 μB/cell



ii.
First-principles (PBE-GGA) data for a relaxed Hg2AsO crystal, as listed in the Alexandria database.

Lattice parameters (Å, degrees): 5.7973 5.7973 6.9348 65.29 65.29 90.00
With the nearest neighbours (Å) after each atom.
Atoms (fractional coordinates):
As: 0.0000 0.0000 0.0000  4 Hg 2.65
As: 0.7500 0.2500 0.5000  4 Hg 2.65
Hg: 0.5783 0.1250 0.2500  2 O 2.33
Hg: 0.1717 0.6250 0.2500  2 O 2.33
Hg: 0.3750 0.4217 0.7500  2 O 2.33
Hg: 0.8750 0.8283 0.7500  2 O 2.33
O: 0.5000 0.5000 0.0000  4 Hg 2.33
O: 0.2500 0.7500 0.5000  4 Hg 2.33

Values from the calculation:
Space group: I-42d, No. 122
Size of the total moment: 0.000 μB/cell



Short version: ii is the most stable of them.



i.
First-principles (PBE-GGA) data for a relaxed Hg3AsO6 crystal, as listed in the Alexandria database.

Lattice parameters (Å, degrees): 6.6772 6.6772 6.6772 90.93 90.93 90.93
With the nearest neighbours (Å) after each atom.
Atoms (fractional coordinates):
Hg: 0.4241 0.9060 0.7542  2 O 2.11-2.12
Hg: 0.9060 0.7542 0.4241  2 O 2.11-2.12
Hg: 0.2458 0.5759 0.0940  2 O 2.11-2.12
Hg: 0.7542 0.4241 0.9060  2 O 2.11-2.12
Hg: 0.0940 0.2458 0.5759  2 O 2.11-2.12
Hg: 0.5759 0.0940 0.2458  2 O 2.11-2.12
As: 0.0000 0.0000 0.0000  6 O 1.88
As: 0.5000 0.5000 0.5000  6 O 1.88
O: 0.2807 0.9829 0.0252  1 As 1.88
O: 0.0171 0.9748 0.7193  1 As 1.88
O: 0.5206 0.7799 0.4816  1 As 1.88
O: 0.9748 0.7193 0.0171  1 As 1.88
O: 0.4816 0.5206 0.7799  1 As 1.88
O: 0.2201 0.5184 0.4794  1 As 1.88
O: 0.7799 0.4816 0.5206  1 As 1.88
O: 0.5184 0.4794 0.2201  1 As 1.88
O: 0.0252 0.2807 0.9829  1 As 1.88
O: 0.4794 0.2201 0.5184  1 As 1.88
O: 0.9829 0.0252 0.2807  1 As 1.88
O: 0.7193 0.0171 0.9748  1 As 1.88

Values from the calculation:
Space group: R-3, No. 148
Size of the total moment: 0.014 μB/cell



ii.
First-principles (PBE-GGA) data for a relaxed Hg3AsO6 crystal, as listed in the Alexandria database.

Lattice parameters (Å, degrees): 5.5331 5.4146 5.8841 116.12 118.05 90.00
With the nearest neighbours (Å) after each atom.
Atoms (fractional coordinates):
Hg: 0.7558 0.2722 0.5117  3 O 2.18-2.36
Hg: 0.2442 0.7278 0.4883  3 O 2.18-2.36
Hg: 0.0000 0.0000 0.0000  4 O 2.22
As: 0.5000 0.5000 0.0000  6 O 1.84-1.91
O: 0.3399 0.3605 0.1601  1 As 1.91
O: 0.1798 0.6395 0.8399  1 As 1.91
O: 0.6601 0.6395 0.8399  1 As 1.91
O: 0.8202 0.3605 0.1601  1 As 1.91
O: 0.3148 0.1804 0.6295  1 As 1.84
O: 0.6852 0.8196 0.3705  1 As 1.84

Values from the calculation:
Space group: C2/m, No. 12
Size of the total moment: 0.000 μB/cell



Short version: i is the most stable of them.



i.
First-principles (PBE-GGA) data for a relaxed HgAs2O crystal, as listed in the Alexandria database.

Lattice parameters (Å, degrees): 4.5777 4.5777 4.5777 60.00 60.00 60.00
With the nearest neighbours (Å) after each atom.
Atoms (fractional coordinates):
As: 0.2500 0.2500 0.2500  4 O 2.80, 4 Hg 2.80
As: 0.7500 0.7500 0.7500  4 Hg 2.80, 4 O 2.80
Hg: 0.5000 0.5000 0.5000  8 As 2.80
O: 0.0000 0.0000 0.0000  8 As 2.80

Values from the calculation:
Space group: Fm-3m, No. 225
Size of the total moment: 0.000 μB/cell



ii.
First-principles (PBE-GGA) data for a relaxed HgAs2O crystal, as listed in the Alexandria database.

Lattice parameters (Å, degrees): 4.9826 4.9826 7.6240 70.93 70.93 90.00
With the nearest neighbours (Å) after each atom.
Atoms (fractional coordinates):
As: 0.4789 0.1250 0.2500  2 O 2.16
As: 0.2711 0.6250 0.2500  2 O 2.16
As: 0.3750 0.5211 0.7500  2 O 2.16
As: 0.8750 0.7289 0.7500  2 O 2.16
Hg: 0.0000 0.0000 0.0000  4 As 2.88
Hg: 0.7500 0.2500 0.5000  4 As 2.88
O: 0.5000 0.5000 0.0000  4 As 2.16
O: 0.2500 0.7500 0.5000  4 As 2.16

Values from the calculation:
Space group: I-42d, No. 122
Size of the total moment: 0.000 μB/cell



Short version: ii is the most stable of them.